Computed, not measured: Mg2Al2Ni5Ge after structural relaxation at the GGA-PBE level of DFT.

Calculated values
Formation energy = -0.287 eV per atom
Symmetry = No. 127

abc: 3.0419 9.5418 9.5418
angles: 90.00 90.00 90.00
Fractional coordinates of all 20 atoms:
Al: 0.0000 0.1313 0.6313
Ni: 0.5000 0.1932 0.0486
Al: 0.0000 0.6313 0.8687
Mg: 0.0000 0.6690 0.1690
Ni: 0.5000 0.8068 0.9514
Mg: 0.0000 0.8310 0.6690
Mg: 0.0000 0.1690 0.3310
Ni: 0.5000 0.0486 0.8068
Al: 0.0000 0.3687 0.1313
Ni: 0.5000 0.5000 0.0000
Ge: 0.0000 0.5000 0.5000
Ge: 0.0000 0.0000 0.0000
Ni: 0.5000 0.3068 0.5486
Ni: 0.5000 0.4514 0.3068
Ni: 0.5000 0.5486 0.6932
Ni: 0.5000 0.6932 0.4514
Ni: 0.5000 0.9514 0.1932
Al: 0.0000 0.8687 0.3687
Ni: 0.5000 0.0000 0.5000
Mg: 0.0000 0.3310 0.8310

=====

Computed, not measured: Mg2AlNi4Ge3 after structural relaxation at the GGA-PBE level of DFT.

Calculated values
Formation energy = -0.315 eV per atom
Symmetry = No. 115

abc: 3.7613 3.7613 10.6797
angles: 90.00 90.00 90.00
Fractional coordinates of all 10 atoms:
Ni: 0.0000 0.0000 0.0000
Al: 0.5000 0.5000 0.5000
Ni: 0.5000 0.0000 0.6456
Mg: 0.5000 0.0000 0.2520
Ni: 0.5000 0.5000 0.0000
Ge: 0.0000 0.0000 0.5000
Mg: 0.0000 0.5000 0.7480
Ni: 0.0000 0.5000 0.3544
Ge: 0.5000 0.0000 0.8617
Ge: 0.0000 0.5000 0.1383

=====

Computed, not measured: Mg2AlNi5Ge2 after structural relaxation at the GGA-PBE level of DFT.

Calculated values
Formation energy = -0.299 eV per atom
Symmetry = No. 127

abc: 3.2502 9.2420 9.2420
angles: 90.00 90.00 90.00
Fractional coordinates of all 20 atoms:
Ni: 0.5000 0.8009 0.9448
Mg: 0.0000 0.6716 0.1716
Ni: 0.5000 0.0000 0.5000
Mg: 0.0000 0.8284 0.6716
Ge: 0.0000 0.3705 0.1295
Ni: 0.5000 0.3009 0.5552
Ni: 0.5000 0.4448 0.3009
Ge: 0.0000 0.8705 0.3705
Ni: 0.5000 0.5552 0.6991
Ge: 0.0000 0.6295 0.8705
Mg: 0.0000 0.3284 0.8284
Ni: 0.5000 0.1991 0.0552
Ni: 0.5000 0.6991 0.4448
Ni: 0.5000 0.0552 0.8009
Al: 0.0000 0.5000 0.5000
Ni: 0.5000 0.5000 0.0000
Ge: 0.0000 0.1295 0.6295
Ni: 0.5000 0.9448 0.1991
Mg: 0.0000 0.1716 0.3284
Al: 0.0000 0.0000 0.0000

=====

| no. | uncorrected energy (eV per atom) |
| --- | --- |
| 1 | -4.71 |
| 2 | -4.71 |
| 3 | -4.81 |